This record from Alexandria via LeMat-Bulk describes an optimized crystal structure of In2FeCo. The functional is PBE.

Its total magnetization is 4.255 Bohr magnetons per cell. The calculated formation energy comes out at 0.314 eV per atom. The calculation puts the total energy at -19.8 eV per cell. For the density of states at the Fermi level, the calculation gives 2.5 states/eV per cell. The space group is No. 160.

Cell: 8.790 8.790 8.790 Å, 20.42 20.42 20.42°
Site moments in Bohr magnetons follow the coordinates.
Atoms (fractional coordinates):
Co 0.489 0.489 0.489  1.63
In 0.238 0.238 0.238  -0.04
In 0.010 0.010 0.010  -0.05
Fe 0.764 0.764 0.764  2.77